Below is an optimized crystal structure of LiSc2, with properties calculated at the PBE level.

```
LiSc2
1.0
-7.4837 -2.6778 2.8693
7.4450 -0.4316 -3.9744
2.2162 -1.5633 4.3213
Sc Li
4 2
direct
0.7762 0.2238 0.5000
0.3334 0.6666 0.0000
0.6683 0.3317 0.0000
0.1111 0.8889 0.5000
0.4451 0.5549 0.5000
0.9993 0.0007 0.0000
```

Summary:
Total magnetic moment in μB per formula unit: 0.00
N(E_F) in states/eV per cell: 8.4
Calculated density in kg/m³: 2305
Offset from the most stable computed form in meV/atom: 0.0
Energy of formation from the pure elements in meV/atom: 101